[1]
# TlCd2Br

Crystalline TlCd2Br at its relaxed geometry (GGA-PBEsol, Alexandria via LeMat-Bulk).

E_form (uncorrected) = -0.37 eV/f.u.
M_tot = 0.00 μB/f.u.
Fermi-level density of states = 0.59 states/eV/f.u.
E_tot = -1.816 eV/atom
volume = 108.7 Å³/cell

Lattice parameters (Å, degrees): 5.3572 5.3572 5.3572 60.00 60.00 60.00
Fractional coordinates of all 4 atoms:
Tl  0.0000  0.0000  0.0000
Cd  0.5000  0.5000  0.5000
Cd  0.7500  0.7500  0.7500
Br  0.2500  0.2500  0.2500


[2]
# TlFeRe

Crystalline TlFeRe at its relaxed geometry (GGA-PBEsol, Alexandria via LeMat-Bulk).

formation energy = 0.9114 eV per atom
M_tot = 3.21 μB/f.u.
Fermi-level density of states = 2.79 states/eV/f.u.
E_tot = -7.397 eV/atom
volume = 47.8 Å³/cell

Lattice parameters (Å, degrees): 4.4366 4.4366 2.8040 90.00 90.00 120.00
Fractional coordinates of all 3 atoms:
Tl  0.0000  0.0000  0.0000
Fe  0.3333  0.6667  0.2981
Re  0.6667  0.3333  0.5463


[3]
# BiSb2TeP

Crystalline BiSb2TeP at its relaxed geometry (GGA-PBEsol, Alexandria via LeMat-Bulk).

E_form (uncorrected) = 2.04 eV/f.u.
M_tot = 0.00 μB/f.u.
Fermi-level density of states = 4.30 states/eV/f.u.
E_tot = -4.136 eV/atom
volume = 138.3 Å³/cell

Lattice parameters (Å, degrees): 5.2132 5.2132 5.0877 90.00 90.00 90.00
Fractional coordinates of all 5 atoms:
Bi  0.0000  0.0000  0.0000
Sb  0.0000  0.5000  0.5000
Sb  0.5000  0.0000  0.5000
Te  0.5000  0.5000  0.0000
P  0.5000  0.5000  0.5000